# BaSb2P, relaxed, DFT PBE
data_BaSb2P
_chemical_formula_sum 'Ba1 Sb2 P1'
_space_group_name_H-M_alt 'P 1'
_space_group_IT_number 1
_space_group_name_Hall 'P 1'
_cell_length_a 4.1790
_cell_length_b 4.1790
_cell_length_c 6.7119
_cell_angle_alpha 90.00
_cell_angle_beta 90.00
_cell_angle_gamma 90.00
loop_
_atom_site_label
_atom_site_type_symbol
_atom_site_fract_x
_atom_site_fract_y
_atom_site_fract_z
Ba1 Ba 0.0000 0.0000 0.0000
Sb1 Sb 0.5000 0.5000 0.2989
Sb2 Sb 0.5000 0.5000 0.7011
P1 P 0.0000 0.0000 0.5000
# uncorrected formation energy: -65 meV/atom
# calculated volume: 29.304 Å³ per atom
# N(E_F): 3.32 states/eV/f.u.

# Ba6SbP3, relaxed, DFT PBE
data_Ba6SbP3
_chemical_formula_sum 'Ba12 Sb2 P6'
_space_group_name_H-M_alt 'P 1'
_space_group_IT_number 1
_space_group_name_Hall 'P 1'
_cell_length_a 13.0949
_cell_length_b 4.8713
_cell_length_c 13.4794
_cell_angle_alpha 90.00
_cell_angle_beta 107.50
_cell_angle_gamma 90.00
loop_
_atom_site_label
_atom_site_type_symbol
_atom_site_fract_x
_atom_site_fract_y
_atom_site_fract_z
Ba1 Ba 0.0327 0.2500 0.3973
Ba2 Ba 0.1021 0.2500 0.9415
Ba3 Ba 0.2222 0.7500 0.2727
Ba4 Ba 0.3017 0.7500 0.7576
Ba5 Ba 0.3794 0.2500 0.5436
Ba6 Ba 0.4216 0.7500 0.0888
Ba7 Ba 0.5784 0.2500 0.9112
Ba8 Ba 0.6206 0.7500 0.4564
Ba9 Ba 0.6983 0.2500 0.2424
Ba10 Ba 0.7778 0.2500 0.7273
Ba11 Ba 0.8979 0.7500 0.0585
Ba12 Ba 0.9673 0.7500 0.6027
Sb1 Sb 0.4415 0.2500 0.3008
Sb2 Sb 0.5585 0.7500 0.6992
P1 P 0.0488 0.2500 0.1686
P2 P 0.1838 0.7500 0.5052
P3 P 0.3370 0.2500 0.9118
P4 P 0.6630 0.7500 0.0882
P5 P 0.8162 0.2500 0.4948
P6 P 0.9512 0.7500 0.8314
# uncorrected formation energy: -1005 meV/atom
# calculated volume: 41.002 Å³ per atom

# BaSb2P, relaxed, DFT PBE
data_BaSb2P
_chemical_formula_sum 'Ba2 Sb4 P2'
_space_group_name_H-M_alt 'P 1'
_space_group_IT_number 1
_space_group_name_Hall 'P 1'
_cell_length_a 5.6197
_cell_length_b 6.2008
_cell_length_c 6.7479
_cell_angle_alpha 90.00
_cell_angle_beta 90.00
_cell_angle_gamma 90.00
loop_
_atom_site_label
_atom_site_type_symbol
_atom_site_fract_x
_atom_site_fract_y
_atom_site_fract_z
Ba1 Ba 0.0000 0.0000 0.0000
Ba2 Ba 0.5000 0.5000 0.0000
Sb1 Sb 0.0000 0.5000 0.2984
Sb2 Sb 0.0000 0.5000 0.7016
Sb3 Sb 0.5000 0.0000 0.2984
Sb4 Sb 0.5000 0.0000 0.7016
P1 P 0.0000 0.0000 0.5000
P2 P 0.5000 0.5000 0.5000
# uncorrected formation energy: -65 meV/atom
# calculated volume: 29.392 Å³ per atom
# N(E_F): 2.27 states/eV/f.u.

# Ba2Sc2Sb2P, relaxed, DFT PBE
data_Ba2Sc2Sb2P
_chemical_formula_sum 'Ba4 Sc4 Sb4 P2'
_space_group_name_H-M_alt 'P 1'
_space_group_IT_number 1
_space_group_name_Hall 'P 1'
_cell_length_a 4.9918
_cell_length_b 4.9918
_cell_length_c 17.7736
_cell_angle_alpha 90.00
_cell_angle_beta 90.00
_cell_angle_gamma 90.00
loop_
_atom_site_label
_atom_site_type_symbol
_atom_site_fract_x
_atom_site_fract_y
_atom_site_fract_z
Ba1 Ba 0.0000 0.0000 0.1734
Ba2 Ba 0.0000 0.0000 0.8266
Ba3 Ba 0.5000 0.5000 0.3266
Ba4 Ba 0.5000 0.5000 0.6734
Sc1 Sc 0.0000 0.5000 0.0000
Sc2 Sc 0.0000 0.5000 0.5000
Sc3 Sc 0.5000 0.0000 0.0000
Sc4 Sc 0.5000 0.0000 0.5000
Sb1 Sb 0.0000 0.0000 0.3844
Sb2 Sb 0.0000 0.0000 0.6156
Sb3 Sb 0.5000 0.5000 0.1156
Sb4 Sb 0.5000 0.5000 0.8844
P1 P 0.0000 0.0000 0.0000
P2 P 0.5000 0.5000 0.5000
# uncorrected formation energy: -1100 meV/atom
# calculated volume: 31.634 Å³ per atom
# N(E_F): 5.30 states/eV/f.u.

# Ba7SbP2Se2, relaxed, DFT PBE
data_Ba7SbP2Se2
_chemical_formula_sum 'Ba7 Sb1 P2 Se2'
_space_group_name_H-M_alt 'P 1'
_space_group_IT_number 1
_space_group_name_Hall 'P 1'
_cell_length_a 13.2740
_cell_length_b 13.2740
_cell_length_c 13.2740
_cell_angle_alpha 151.87
_cell_angle_beta 40.43
_cell_angle_gamma 151.56
loop_
_atom_site_label
_atom_site_type_symbol
_atom_site_fract_x
_atom_site_fract_y
_atom_site_fract_z
Ba1 Ba 0.0000 0.0000 0.0000
Ba2 Ba 0.1291 0.8871 0.2420
Ba3 Ba 0.2771 0.3933 0.8838
Ba4 Ba 0.5095 0.3933 0.1162
Ba5 Ba 0.6452 0.8871 0.7580
Ba6 Ba 0.7693 0.3802 0.3890
Ba7 Ba 0.9912 0.3802 0.6110
Sb1 Sb 0.2998 0.7998 0.5000
P1 P 0.7579 0.8765 0.8814
P2 P 0.9950 0.8765 0.1186
Se1 Se 0.1365 0.3867 0.7498
Se2 Se 0.6369 0.3867 0.2502
# uncorrected formation energy: -1197 meV/atom
# calculated volume: 43.676 Å³ per atom
# N(E_F): 4.11 states/eV/f.u.

# BaSbP2Se8, relaxed, DFT PBE
data_BaSbP2Se8
_chemical_formula_sum 'Ba1 Sb1 P2 Se8'
_space_group_name_H-M_alt 'P 1'
_space_group_IT_number 1
_space_group_name_Hall 'P 1'
_cell_length_a 6.3772
_cell_length_b 6.3772
_cell_length_c 9.5773
_cell_angle_alpha 90.00
_cell_angle_beta 90.00
_cell_angle_gamma 120.00
loop_
_atom_site_label
_atom_site_type_symbol
_atom_site_fract_x
_atom_site_fract_y
_atom_site_fract_z
Ba1 Ba 0.0000 0.0000 0.0000
Sb1 Sb 0.0000 0.0000 0.5000
P1 P 0.3333 0.6667 0.7510
P2 P 0.6667 0.3333 0.2490
Se1 Se 0.0180 0.6646 0.3104
Se2 Se 0.3333 0.6667 0.9792
Se3 Se 0.3354 0.3533 0.3104
Se4 Se 0.3533 0.0180 0.6896
Se5 Se 0.6467 0.9820 0.3104
Se6 Se 0.6646 0.6467 0.6896
Se7 Se 0.6667 0.3333 0.0208
Se8 Se 0.9820 0.3354 0.6896
# uncorrected formation energy: -393 meV/atom
# calculated volume: 28.110 Å³ per atom
# N(E_F): 6.60 states/eV/f.u.

# Ba2Sr5Sb3P2, relaxed, DFT PBE
data_Ba2Sr5Sb3P2
_chemical_formula_sum 'Ba2 Sr5 Sb3 P2'
_space_group_name_H-M_alt 'P 1'
_space_group_IT_number 1
_space_group_name_Hall 'P 1'
_cell_length_a 15.2378
_cell_length_b 15.2378
_cell_length_c 15.2378
_cell_angle_alpha 158.47
_cell_angle_beta 158.47
_cell_angle_gamma 30.63
loop_
_atom_site_label
_atom_site_type_symbol
_atom_site_fract_x
_atom_site_fract_y
_atom_site_fract_z
Ba1 Ba 0.2055 0.2055 0.0000
Ba2 Ba 0.7945 0.7945 0.0000
Sr1 Sr 0.0000 0.0000 0.0000
Sr2 Sr 0.0985 0.5985 0.5000
Sr3 Sr 0.4015 0.9015 0.5000
Sr4 Sr 0.5985 0.0985 0.5000
Sr5 Sr 0.9015 0.4015 0.5000
Sb1 Sb 0.3260 0.3260 0.0000
Sb2 Sb 0.5000 0.5000 0.0000
Sb3 Sb 0.6740 0.6740 0.0000
P1 P 0.0988 0.0988 0.0000
P2 P 0.9012 0.9012 0.0000
# uncorrected formation energy: -951 meV/atom
# calculated volume: 39.673 Å³ per atom
# N(E_F): 5.74 states/eV/f.u.

# BaSr2SbP, relaxed, DFT PBE
data_BaSr2SbP
_chemical_formula_sum 'Ba1 Sr2 Sb1 P1'
_space_group_name_H-M_alt 'P 1'
_space_group_IT_number 1
_space_group_name_Hall 'P 1'
_cell_length_a 5.7554
_cell_length_b 5.7554
_cell_length_c 6.1050
_cell_angle_alpha 90.00
_cell_angle_beta 90.00
_cell_angle_gamma 90.00
loop_
_atom_site_label
_atom_site_type_symbol
_atom_site_fract_x
_atom_site_fract_y
_atom_site_fract_z
Ba1 Ba 0.0000 0.0000 0.0000
Sr1 Sr 0.0000 0.5000 0.5000
Sr2 Sr 0.5000 0.0000 0.5000
Sb1 Sb 0.5000 0.5000 0.0000
P1 P 0.0000 0.0000 0.5000
# uncorrected formation energy: -893 meV/atom
# calculated volume: 40.445 Å³ per atom
# N(E_F): 0.10 states/eV/f.u.

# Ba3ScP, relaxed, DFT PBE
data_Ba3ScP
_chemical_formula_sum 'Ba3 Sc1 P1'
_space_group_name_H-M_alt 'P 1'
_space_group_IT_number 1
_space_group_name_Hall 'P 1'
_cell_length_a 6.2666
_cell_length_b 6.2666
_cell_length_c 6.2666
_cell_angle_alpha 90.00
_cell_angle_beta 90.00
_cell_angle_gamma 90.00
loop_
_atom_site_label
_atom_site_type_symbol
_atom_site_fract_x
_atom_site_fract_y
_atom_site_fract_z
Ba1 Ba 0.0000 0.0000 0.5000
Ba2 Ba 0.0000 0.5000 0.0000
Ba3 Ba 0.5000 0.0000 0.0000
Sc1 Sc 0.5000 0.5000 0.5000
P1 P 0.0000 0.0000 0.0000
# E above lowest polymorph: 0.000 eV/atom
# energy relative to the elements: -6.99 kJ per mole of atoms
# calculated volume: 49.218 Å³ per atom
# N(E_F): 11.35 states/eV/f.u.

# BaScP, relaxed, DFT PBE
data_BaScP
_chemical_formula_sum 'Ba1 Sc1 P1'
_space_group_name_H-M_alt 'P 1'
_space_group_IT_number 1
_space_group_name_Hall 'P 1'
_cell_length_a 4.5263
_cell_length_b 4.5263
_cell_length_c 5.0404
_cell_angle_alpha 90.00
_cell_angle_beta 90.00
_cell_angle_gamma 120.00
loop_
_atom_site_label
_atom_site_type_symbol
_atom_site_fract_x
_atom_site_fract_y
_atom_site_fract_z
Ba1 Ba 0.0000 0.0000 0.0000
Sc1 Sc 0.3333 0.6667 0.5000
P1 P 0.6667 0.3333 0.5000
# E above lowest polymorph: 0.230 eV/atom
# energy relative to the elements: -68.62 kJ per mole of atoms
# calculated volume: 29.811 Å³ per atom
# N(E_F): 2.98 states/eV/f.u.

# Ba4ScP, relaxed, DFT PBE
data_Ba4ScP
_chemical_formula_sum 'Ba4 Sc1 P1'
_space_group_name_H-M_alt 'P 1'
_space_group_IT_number 1
_space_group_name_Hall 'P 1'
_cell_length_a 7.1461
_cell_length_b 7.1461
_cell_length_c 7.1461
_cell_angle_alpha 60.00
_cell_angle_beta 60.00
_cell_angle_gamma 60.00
loop_
_atom_site_label
_atom_site_type_symbol
_atom_site_fract_x
_atom_site_fract_y
_atom_site_fract_z
Ba1 Ba 0.1240 0.1240 0.1240
Ba2 Ba 0.1240 0.1240 0.6279
Ba3 Ba 0.1240 0.6279 0.1240
Ba4 Ba 0.6279 0.1240 0.1240
Sc1 Sc 0.5000 0.5000 0.5000
P1 P 0.7500 0.7500 0.7500
# energy relative to the elements: 62.50 kJ per mole of atoms
# calculated volume: 43.008 Å³ per atom
# N(E_F): 8.20 states/eV/f.u.

# Ba2ScP, relaxed, DFT PBE
data_Ba2ScP
_chemical_formula_sum 'Ba4 Sc2 P2'
_space_group_name_H-M_alt 'P 1'
_space_group_IT_number 1
_space_group_name_Hall 'P 1'
_cell_length_a 4.2752
_cell_length_b 5.1013
_cell_length_c 13.2217
_cell_angle_alpha 90.00
_cell_angle_beta 90.00
_cell_angle_gamma 90.00
loop_
_atom_site_label
_atom_site_type_symbol
_atom_site_fract_x
_atom_site_fract_y
_atom_site_fract_z
Ba1 Ba 0.0000 0.0000 0.0000
Ba2 Ba 0.0000 0.5000 0.5000
Ba3 Ba 0.5000 0.0000 0.2936
Ba4 Ba 0.5000 0.5000 0.7936
Sc1 Sc 0.5000 0.0000 0.6023
Sc2 Sc 0.5000 0.5000 0.1023
P1 P 0.0000 0.0000 0.7142
P2 P 0.0000 0.5000 0.2142
# energy relative to the elements: -46.79 kJ per mole of atoms
# calculated volume: 36.044 Å³ per atom
# N(E_F): 3.47 states/eV/f.u.

- Which value of calculated volume does entry 9 give?
  49.218 Å³ per atom

- Which value of calculated volume does entry 5 give?
  43.676 Å³ per atom

- What is the formula in the eighth record?
  BaSr2SbP

- What is the calculated volume in the third record?
  29.392 Å³ per atom